Entry 1:
The following is a GGA-PBE calculation of HgGe after structural relaxation, from OQMD.

## Properties
As for the energy above the most stable polymorph in this dataset: 0.098 eV per atom.

Unit cell a=4.2132 b=4.2132 c=6.3049 alpha=90.00 beta=90.00 gamma=120.00
Sites, in units of the cell vectors:
Hg (0.0000, 0.0000, 0.0000)
Hg (0.0000, 0.0000, 0.5000)
Ge (0.3333, 0.6667, 0.2500)
Ge (0.6667, 0.3333, 0.7500)

=====

Entry 2:
The following is a GGA-PBE calculation of TbDy2Tl2Cd3In after structural relaxation, from OQMD.

## Properties
The value obtained for the magnetization is 0.00 μB per cell. The uncorrected energy comes out at -3.00 eV/atom.

Unit cell a=4.6304 b=7.5593 c=7.5593 alpha=120.07 beta=90.00 gamma=90.00
Sites, in units of the cell vectors:
Tb (0.0000, 0.0000, 0.0000)
Dy (0.0000, 0.4345, 0.8689)
Dy (0.0000, 0.8689, 0.4345)
Tl (0.5000, 0.1014, 0.7675)
Tl (0.5000, 0.7675, 0.1014)
Cd (0.5000, 0.1925, 0.4345)
Cd (0.5000, 0.4345, 0.1925)
Cd (0.5000, 0.6765, 0.6765)
In (0.0000, 0.4349, 0.4349)

=====

Entry 3:
The following is a GGA-PBE calculation of KLiTePt after structural relaxation, from OQMD.

## Properties
The value obtained for the magnetization is 0.00 μB per cell. As for the energy above the most stable polymorph in this dataset: 0.240 eV per atom.

Unit cell a=5.1015 b=5.1015 c=5.1015 alpha=60.00 beta=60.00 gamma=60.00
Sites, in units of the cell vectors:
K (0.0000, 0.0000, 0.0000)
Li (0.5000, 0.5000, 0.5000)
Te (0.2500, 0.2500, 0.2500)
Pt (0.7500, 0.7500, 0.7500)